# 1
A plane-wave DFT calculation with PBE was carried out for a relaxed structure of Na2Pt2Au.

Properties
Calculated volume = 20.8 A^3/atom
Total moment = 0.00 Bohr magnetons per cell
SG = P4/mbm (127)
Energy relative to the lowest polymorph listed for this composition = 0.000 eV per formula unit
ΔH_f (0 K) = -0.13 eV per atom

a = 6.739 Å, b = 6.739 Å, c = 4.584 Å
α = 90.00°, β = 90.00°, γ = 90.00°
Element x y z (fractional)
Na: 0.172 0.328 0.000
Na: 0.328 0.828 0.000
Na: 0.672 0.172 0.000
Na: 0.828 0.672 0.000
Pt: 0.132 0.632 0.500
Pt: 0.368 0.132 0.500
Pt: 0.632 0.868 0.500
Pt: 0.868 0.368 0.500
Au: 0.000 0.000 0.500
Au: 0.500 0.500 0.500

***

# 2
A plane-wave DFT calculation with PBE was carried out for a relaxed structure of BaMg2ZnGa4.

Properties
Calculated volume = 23.3 A^3/atom
Total moment = 0.00 Bohr magnetons per cell
SG = R-3m (166)
ΔH_f (0 K) = -0.19 eV per atom

a = 9.934 Å, b = 9.934 Å, c = 9.934 Å
α = 27.67°, β = 27.67°, γ = 27.67°
Element x y z (fractional)
Ba: 0.000 0.000 0.000
Mg: 0.231 0.231 0.231
Mg: 0.769 0.769 0.769
Zn: 0.500 0.500 0.500
Ga: 0.128 0.128 0.128
Ga: 0.408 0.408 0.408
Ga: 0.592 0.592 0.592
Ga: 0.872 0.872 0.872

***

# 3
A plane-wave DFT calculation with PBE was carried out for a relaxed structure of Li2Cd2Sn.

Properties
Calculated volume = 22.5 A^3/atom
Total moment = 0.00 Bohr magnetons per cell
SG = I4/mmm (139)
Energy relative to the lowest polymorph listed for this composition = 0.923 eV per formula unit
ΔH_f (0 K) = -0.05 eV per atom

a = 7.707 Å, b = 7.707 Å, c = 7.707 Å
α = 150.28°, β = 150.28°, γ = 42.54°
Element x y z (fractional)
Li: 0.250 0.750 0.500
Li: 0.750 0.250 0.500
Cd: 0.108 0.108 0.000
Cd: 0.892 0.892 0.000
Sn: 0.500 0.500 0.000

***

# 4
A plane-wave DFT calculation with PBE was carried out for a relaxed structure of Sm2InSb.

Properties
Calculated volume = 28.2 A^3/atom
Total moment = 0.00 Bohr magnetons per cell
SG = P4/mmm (123)
ΔE_f (raw) = -699 meV/atom
Energy relative to the lowest polymorph listed for this composition = 0.406 eV per formula unit

a = 4.035 Å, b = 4.035 Å, c = 6.933 Å
α = 90.00°, β = 90.00°, γ = 90.00°
Element x y z (fractional)
Sm: 0.000 0.000 0.241
Sm: 0.000 0.000 0.759
In: 0.500 0.500 0.500
Sb: 0.500 0.500 0.000

***

# 5
A plane-wave DFT calculation with PBE was carried out for a relaxed structure of HfZr2Sb2N2.

Properties
Calculated volume = 18.3 A^3/atom
Total moment = 0.00 Bohr magnetons per cell
SG = I4/mmm (139)
ΔE_f (raw) = -824 meV/atom

a = 8.088 Å, b = 8.088 Å, c = 8.088 Å
α = 150.44°, β = 150.44°, γ = 42.29°
Element x y z (fractional)
Hf: 0.000 0.000 0.000
Zr: 0.399 0.399 0.000
Zr: 0.601 0.601 0.000
Sb: 0.194 0.194 0.000
Sb: 0.806 0.806 0.000
N: 0.000 0.500 0.500
N: 0.500 0.000 0.500

***

# 6
A plane-wave DFT calculation with PBE was carried out for a relaxed structure of AcGa4Sn.

Properties
Calculated volume = 25.0 A^3/atom
Total moment = 0.00 Bohr magnetons per cell
SG = I4/mmm (139)
Energy relative to the lowest polymorph listed for this composition = 0.380 eV per formula unit
ΔH_f (0 K) = -0.16 eV per atom

a = 9.520 Å, b = 9.520 Å, c = 9.520 Å
α = 100.33°, β = 100.33°, γ = 129.89°
Element x y z (fractional)
Ac: 0.243 0.243 0.000
Ac: 0.250 0.750 0.500
Ac: 0.750 0.250 0.500
Ac: 0.757 0.757 0.000
Ga: 0.111 0.111 0.639
Ga: 0.111 0.277 0.388
Ga: 0.111 0.472 0.000
Ga: 0.111 0.723 0.834
Ga: 0.277 0.111 0.388
Ga: 0.277 0.889 0.166
Ga: 0.472 0.111 0.000
Ga: 0.472 0.472 0.361
Ga: 0.528 0.528 0.639
Ga: 0.528 0.889 0.000
Ga: 0.723 0.111 0.834
Ga: 0.723 0.889 0.612
Ga: 0.889 0.277 0.166
Ga: 0.889 0.528 0.000
Ga: 0.889 0.723 0.612
Ga: 0.889 0.889 0.361
Sn: 0.248 0.500 0.748
Sn: 0.500 0.248 0.748
Sn: 0.500 0.752 0.252
Sn: 0.752 0.500 0.252

***

Q: Which value of total moment does entry 2 give?
A: 0.00 Bohr magnetons per cell